1.
VASP calculation (PBE) on an optimized crystal structure of Li2AlCr.

Cell lengths 2.5851, 2.5851, 8.8359 Å; angles 90.00, 90.00, 90.00 degrees
With the nearest neighbours (Å) after each atom.
Fractional coordinates of all 4 atoms:
1 Al 0.0000 0.0000 0.5183  4 Al 2.59, 4 Cr 2.64, 4 Li 2.87
2 Cr 0.5000 0.5000 0.7335  4 Cr 2.59, 4 Al 2.64, 4 Li 2.84
3 Li 0.0000 0.0000 0.9797  4 Li 2.59, 4 Cr 2.84
4 Li 0.5000 0.5000 0.2685  4 Li 2.59, 4 Al 2.87

Values from the calculation:
DOS at the Fermi energy: 4.14 states/eV/f.u.

---

2.
VASP calculation (PBE) on an optimized crystal structure of LiAl2Cr.

Cell lengths 9.0661, 9.0661, 9.0661 Å; angles 17.44, 17.44, 17.44 degrees
With the nearest neighbours (Å) after each atom.
Fractional coordinates of all 4 atoms:
1 Al 0.9942 0.9942 0.9942  3 Cr 2.61, 6 Al 2.75, 3 Li 2.87
2 Al 0.5058 0.5058 0.5058  3 Cr 2.61, 6 Al 2.75, 3 Li 2.87
3 Cr 0.2500 0.2500 0.2500  6 Al 2.61, 6 Cr 2.75
4 Li 0.7500 0.7500 0.7500  6 Li 2.75, 6 Al 2.87

Values from the calculation:
DOS at the Fermi energy: 2.84 states/eV/f.u.

---

3.
VASP calculation (PBE) on an optimized crystal structure of LiAl2Cr.

Cell lengths 4.9901, 4.9901, 4.9901 Å; angles 137.82, 137.82, 61.17 degrees
With the nearest neighbours (Å) after each atom.
Fractional coordinates of all 4 atoms:
1 Al 0.0000 0.0000 0.0000  4 Cr 2.54, 4 Li 2.80, 4 Al 2.80
2 Al 0.2500 0.7500 0.5000  4 Li 2.54, 4 Cr 2.80, 4 Al 2.80
3 Cr 0.5000 0.5000 0.0000  8 Al 2.54-2.80, 4 Li 2.80
4 Li 0.7500 0.2500 0.5000  8 Al 2.54-2.80, 4 Cr 2.80

Values from the calculation:
DOS at the Fermi energy: 1.81 states/eV/f.u.

---

| no. | energy relative to the elements (kcal/mol of atoms) | E_tot (eV per atom) |
| --- | --- | --- |
| 1 | 3.3 | -4.154 |
| 2 | 0.6 | -4.730 |
| 3 | 1.2 | -4.705 |